[1]
{"formula": "Y4PS2Cl", "functional": "GGA-PBE", "state": "relaxed", "cell": [[6.854, 0.000, 0.000], [0.000, 3.970, 0.000], [-2.299, 0.000, 6.515]], "species": ["Y", "Y", "Y", "Y", "P", "S", "S", "Cl"], "frac_coords": [[0.226, 0.000, 0.220], [0.244, 0.500, 0.771], [0.756, 0.500, 0.229], [0.774, 0.000, 0.780], [0.500, 0.000, 0.000], [0.000, 0.000, 0.500], [0.000, 0.500, 0.000], [0.500, 0.500, 0.500]], "total_magnetization_mub_per_atom": 0.000, "sg": "P2/m", "energy_ev_per_atom": -6.934, "raw_formation_energy_kj_per_mol_atoms": -170}

[2]
{"formula": "CeBIr", "functional": "GGA-PBE", "state": "relaxed", "cell": [[5.614, -1.636, 0.000], [5.614, 1.636, 0.000], [-0.294, 0.000, 5.244]], "species": ["Ce", "Ce", "B", "B", "Ir", "Ir"], "frac_coords": [[0.123, 0.123, 0.379], [0.877, 0.877, 0.621], [0.229, 0.229, 0.884], [0.771, 0.771, 0.116], [0.393, 0.393, 0.128], [0.607, 0.607, 0.872]], "total_magnetization_mub_per_atom": 0.000, "sg": "C2/m", "formation_enthalpy_0k_ev_per_atom": -0.52, "de_polymorph_ev_per_atom": 0.032, "energy_ev_per_atom": -7.680}

[3]
{"formula": "GeOs2BrN", "functional": "GGA-PBE", "state": "relaxed", "cell": [[3.895, 0.000, 0.000], [0.000, 3.895, 0.000], [0.000, 0.000, 6.331]], "species": ["Ge", "Os", "Os", "Br", "N"], "frac_coords": [[0.000, 0.000, 0.000], [0.000, 0.500, 0.500], [0.500, 0.000, 0.500], [0.500, 0.500, 0.000], [0.000, 0.000, 0.500]], "total_magnetization_mub_per_atom": 0.000, "sg": "P4/mmm", "energy_ev_per_atom": -6.404, "raw_formation_energy_kj_per_mol_atoms": 98}

[4]
{"formula": "Cs2SeI4", "functional": "GGA-PBE", "state": "relaxed", "cell": [[-4.279, 4.279, 5.247], [4.279, -4.279, 5.247], [4.279, 4.279, -5.247]], "species": ["Cs", "Cs", "Se", "I", "I", "I", "I"], "frac_coords": [[0.250, 0.750, 0.500], [0.750, 0.250, 0.500], [0.000, 0.000, 0.000], [0.235, 0.235, 0.470], [0.235, 0.765, 0.000], [0.765, 0.235, 0.000], [0.765, 0.765, 0.530]], "total_magnetization_mub_per_atom": 0.000, "sg": "I4/mmm", "de_polymorph_ev_per_atom": 0.000, "energy_ev_per_atom": -2.526, "raw_formation_energy_kj_per_mol_atoms": -87}